Material: Ta2AlTl
Method: DFT, PBE
State: relaxed

Summary:
- Final energy: -7.188 eV/atom
- Density of states at the Fermi level: 0.504 states/eV per atom
- Crystal system: orthorhombic
- Energy of formation from the pure elements: 25.63 kJ per mole of atoms

Unit cell a=3.678 b=4.458 c=4.542 alpha=90.00 beta=90.00 gamma=90.00
Space group Pmmm (No. 47)
Asymmetric unit:
Ta (0.000, 0.000, 0.000)
Ta (0.500, 0.500, 0.000)
Al (0.000, 0.500, 0.500)
Tl (0.500, 0.000, 0.500)

=====

Material: Te5Pt
Method: DFT, PBE
State: relaxed

Summary:
- Final energy: -2.784 eV/atom
- Density of states at the Fermi level: 1.389 states/eV per atom
- Crystal system: cubic
- Offset from the most stable computed form: 1018 meV per atom

Unit cell a=8.772 b=8.772 c=8.772 alpha=90.00 beta=90.00 gamma=90.00
Space group F-43m (No. 216)
Asymmetric unit:
Te (0.000, 0.000, 0.000)
Te (0.124, 0.124, 0.624)
Pt (0.250, 0.250, 0.250)

=====

Material: Li3Pm3GeO8
Method: DFT, PBE
State: relaxed

Summary:
- Final energy: -6.745 eV/atom
- Density of states at the Fermi level: 0.000 states/eV per atom
- Crystal system: trigonal

Unit cell a=6.8303 b=6.8303 c=14.7477 alpha=90.00 beta=90.00 gamma=120.00
Space group R-3m (No. 166, hexagonal axes)
Asymmetric unit:
Li (0.0000, 0.5000, 0.0000)
Pm (0.0000, 0.5000, 0.5000)
Ge (0.0000, 0.0000, 0.5000)
O (0.0000, 0.0000, 0.2451)
O (0.0522, 0.5261, 0.2413)

=====

Material: Mg2CuPW
Method: DFT, PBE
State: relaxed

Summary:
- Final energy: -4.172 eV/atom
- Density of states at the Fermi level: 0.680 states/eV per atom
- Crystal system: tetragonal
- Energy of formation from the pure elements: 92.43 kJ per mole of atoms

Unit cell a=5.275 b=5.275 c=4.542 alpha=90.00 beta=90.00 gamma=90.00
Space group P4/mmm (No. 123)
Asymmetric unit:
Mg (0.000, 0.500, 0.000)
Cu (0.000, 0.000, 0.500)
P (0.500, 0.500, 0.500)
W (0.500, 0.500, 0.000)

=====

Material: YTePb2
Method: DFT, PBE
State: relaxed

Summary:
- Final energy: -4.608 eV/atom
- Density of states at the Fermi level: 0.513 states/eV per atom
- Crystal system: tetragonal

Unit cell a=4.524 b=4.524 c=6.079 alpha=90.00 beta=90.00 gamma=90.00
Space group P4/mmm (No. 123)
Asymmetric unit:
Y (0.000, 0.000, 0.000)
Te (0.000, 0.000, 0.500)
Pb (0.500, 0.500, 0.245)

=====

Material: InTePb2
Method: DFT, PBE
State: relaxed

Summary:
- Final energy: -3.215 eV/atom
- Density of states at the Fermi level: 0.462 states/eV per atom
- Crystal system: tetragonal
- Offset from the most stable computed form: 186 meV per atom

Unit cell a=6.845 b=6.845 c=14.885 alpha=90.00 beta=90.00 gamma=90.00
Space group I-42d (No. 122)
Asymmetric unit:
In (0.000, 0.000, 0.000)
Te (0.000, 0.000, 0.500)
Pb (0.236, 0.250, 0.125)

=====

Material: Pu2Mn2P2N
Method: DFT, PBE
State: relaxed

Summary:
- Final energy: -10.385 eV/atom
- Density of states at the Fermi level: 2.390 states/eV per atom
- Crystal system: monoclinic

Unit cell a=10.567 b=3.737 c=6.429 alpha=90.00 beta=123.24 gamma=90.00
Space group C2/m (No. 12)
Asymmetric unit:
Pu (0.053, 0.000, 0.303)
Mn (0.194, 0.500, 0.080)
P (0.185, 0.500, 0.721)
N (0.000, 0.500, 0.000)

=====

Material: AlV12Sn3
Method: DFT, PBE
State: relaxed

Summary:
- Final energy: -7.906 eV/atom
- Density of states at the Fermi level: 1.874 states/eV per atom
- Crystal system: orthorhombic
- Energy of formation from the pure elements: -8.02 kJ per mole of atoms

Unit cell a=4.935 b=4.950 c=9.795 alpha=90.00 beta=90.00 gamma=90.00
Space group Pmmm (No. 47)
Asymmetric unit:
Al (0.000, 0.000, 0.000)
V (0.000, 0.247, 0.241)
V (0.231, 0.500, 0.000)
V (0.251, 0.500, 0.500)
V (0.500, 0.000, 0.119)
V (0.500, 0.000, 0.373)
Sn (0.000, 0.000, 0.500)
Sn (0.500, 0.500, 0.249)

=====

Material: CsGe3Pd
Method: DFT, PBE
State: relaxed

Summary:
- Final energy: -3.601 eV/atom
- Density of states at the Fermi level: 1.360 states/eV per atom
- Crystal system: cubic
- Offset from the most stable computed form: 0 meV per atom
- Energy of formation from the pure elements: 36.51 kJ per mole of atoms

Unit cell a=5.133 b=5.133 c=5.133 alpha=90.00 beta=90.00 gamma=90.00
Space group Pm-3m (No. 221)
Asymmetric unit:
Cs (0.000, 0.000, 0.000)
Ge (0.000, 0.500, 0.500)
Pd (0.500, 0.500, 0.500)

=====

Material: TiZn2FeS
Method: DFT, PBE
State: relaxed

Summary:
- Final energy: -4.177 eV/atom
- Density of states at the Fermi level: 1.571 states/eV per atom
- Crystal system: tetragonal

Unit cell a=4.595 b=4.595 c=4.071 alpha=90.00 beta=90.00 gamma=90.00
Space group P4/mmm (No. 123)
Asymmetric unit:
Ti (0.000, 0.000, 0.000)
Zn (0.000, 0.500, 0.500)
Fe (0.500, 0.500, 0.500)
S (0.500, 0.500, 0.000)

=====

Material: La2TiReBi
Method: DFT, PBE
State: relaxed

Summary:
- Final energy: -6.341 eV/atom
- Density of states at the Fermi level: 1.715 states/eV per atom
- Crystal system: tetragonal
- Energy of formation from the pure elements: 45.80 kJ per mole of atoms

Unit cell a=5.615 b=5.615 c=4.577 alpha=90.00 beta=90.00 gamma=90.00
Space group P4/mmm (No. 123)
Asymmetric unit:
La (0.000, 0.500, 0.000)
Ti (0.000, 0.000, 0.000)
Re (0.000, 0.000, 0.500)
Bi (0.500, 0.500, 0.500)

=====

Material: PmPaSb2
Method: DFT, PBE
State: relaxed

Summary:
- Final energy: -6.428 eV/atom
- Density of states at the Fermi level: 1.415 states/eV per atom
- Crystal system: tetragonal
- Offset from the most stable computed form: 0 meV per atom

Unit cell a=6.252 b=6.252 c=12.531 alpha=90.00 beta=90.00 gamma=90.00
Space group I4_1/amd (No. 141, origin choice 2)
Asymmetric unit:
Pm (0.000, 0.250, 0.375)
Pa (0.000, 0.250, 0.875)
Sb (0.000, 0.250, 0.122)

=====

Material: Rb2ReCl
Method: DFT, PBE
State: relaxed

Summary:
- Final energy: -3.319 eV/atom
- Density of states at the Fermi level: 0.384 states/eV per atom
- Crystal system: tetragonal
- Offset from the most stable computed form: 0 meV per atom

Unit cell a=8.993 b=8.993 c=9.213 alpha=90.00 beta=90.00 gamma=90.00
Space group I-42d (No. 122)
Asymmetric unit:
Rb (0.211, 0.250, 0.125)
Re (0.000, 0.000, 0.500)
Cl (0.000, 0.000, 0.000)

=====

Material: TaNbSe3
Method: DFT, PBE
State: relaxed

Summary:
- Final energy: -7.228 eV/atom
- Density of states at the Fermi level: 0.252 states/eV per atom
- Crystal system: orthorhombic
- Offset from the most stable computed form: 0 meV per atom

Unit cell a=3.478 b=20.808 c=6.276 alpha=90.00 beta=90.00 gamma=90.00
Space group Ama2 (No. 40)
Asymmetric unit:
Ta (0.250, 0.169, 0.000)
Nb (0.250, 0.334, 0.886)
Se (0.250, 0.080, 0.283)
Se (0.250, 0.240, 0.612)
Se (0.250, 0.397, 0.277)

=====

Material: PmSmGeRh
Method: DFT, PBE
State: relaxed

Summary:
- Final energy: -6.167 eV/atom
- Density of states at the Fermi level: 0.733 states/eV per atom
- Crystal system: orthorhombic
- Offset from the most stable computed form: 0 meV per atom
- Energy of formation from the pure elements: -77.89 kJ per mole of atoms

Unit cell a=4.202 b=4.193 c=10.785 alpha=90.00 beta=90.00 gamma=90.00
Space group Amm2 (No. 38)
Asymmetric unit:
Pm (0.000, 0.000, 0.000)
Sm (0.500, 0.000, 0.721)
Ge (0.000, 0.000, 0.289)
Rh (0.500, 0.000, 0.440)

=====

Material: Rb3CuAg2Cl9
Method: DFT, PBE
State: relaxed

Summary:
- Final energy: -3.021 eV/atom
- Density of states at the Fermi level: 0.348 states/eV per atom
- Crystal system: trigonal

Unit cell a=7.1641 b=7.1641 c=8.7999 alpha=90.00 beta=90.00 gamma=120.00
Space group P-3m1 (No. 164)
Asymmetric unit:
Rb (0.0000, 0.0000, 0.0000)
Rb (0.3333, 0.6667, 0.6671)
Cu (0.0000, 0.0000, 0.5000)
Ag (0.3333, 0.6667, 0.1743)
Cl (0.0000, 0.5000, 0.0000)
Cl (0.1600, 0.3200, 0.3419)

=====

Material: Y2SiF
Method: DFT, PBE
State: relaxed

Summary:
- Final energy: -6.289 eV/atom
- Density of states at the Fermi level: 0.766 states/eV per atom
- Crystal system: tetragonal
- Offset from the most stable computed form: 82 meV per atom

Unit cell a=5.666 b=5.666 c=12.588 alpha=90.00 beta=90.00 gamma=90.00
Space group I-42d (No. 122)
Asymmetric unit:
Y (0.201, 0.250, 0.125)
Si (0.000, 0.000, 0.500)
F (0.000, 0.000, 0.000)

=====

Material: Pm9Ho4Al11
Method: DFT, PBE
State: relaxed

Summary:
- Final energy: -4.560 eV/atom
- Density of states at the Fermi level: 0.623 states/eV per atom
- Crystal system: orthorhombic
- Energy of formation from the pure elements: -28.97 kJ per mole of atoms

Unit cell a=15.879 b=22.166 c=3.466 alpha=90.00 beta=90.00 gamma=90.00
Space group Cmmm (No. 65)
Asymmetric unit:
Pm (0.000, 0.000, 0.000)
Pm (0.113, 0.231, 0.000)
Pm (0.113, 0.408, 0.000)
Ho (0.170, 0.085, 0.000)
Al (0.000, 0.124, 0.500)
Al (0.000, 0.319, 0.500)
Al (0.000, 0.500, 0.500)
Al (0.220, 0.500, 0.500)
Al (0.233, 0.317, 0.500)

=====

Material: Ga2RuO
Method: DFT, PBE
State: relaxed

Summary:
- Final energy: -5.446 eV/atom
- Density of states at the Fermi level: 0.774 states/eV per atom
- Crystal system: tetragonal

Unit cell a=6.014 b=6.014 c=6.199 alpha=90.00 beta=90.00 gamma=90.00
Space group I-42d (No. 122)
Asymmetric unit:
Ga (0.188, 0.250, 0.125)
Ru (0.000, 0.000, 0.500)
O (0.000, 0.000, 0.000)

=====

Material: LiTl2SnSe4
Method: DFT, PBE
State: relaxed

Summary:
- Final energy: -3.549 eV/atom
- Density of states at the Fermi level: 0.744 states/eV per atom
- Crystal system: monoclinic

Unit cell a=10.479 b=8.844 c=7.412 alpha=90.00 beta=134.98 gamma=90.00
Space group C2 (No. 5)
Asymmetric unit:
Li (0.000, 0.000, 0.000)
Tl (0.000, 0.500, 0.000)
Tl (0.000, 0.750, 0.500)
Sn (0.000, 0.250, 0.500)
Se (0.186, 0.095, 0.910)
Se (0.225, 0.406, 0.539)

=====

Material: ZnAgRh
Method: DFT, PBE
State: relaxed

Summary:
- Final energy: -3.850 eV/atom
- Density of states at the Fermi level: 1.129 states/eV per atom
- Crystal system: hexagonal
- Offset from the most stable computed form: 54 meV per atom
- Energy of formation from the pure elements: -2.36 kJ per mole of atoms

Unit cell a=2.8248 b=2.8248 c=13.3099 alpha=90.00 beta=90.00 gamma=120.00
Space group P-6m2 (No. 187)
Asymmetric unit:
Zn (0.0000, 0.0000, 0.0000)
Zn (0.3333, 0.6667, 0.5000)
Ag (0.0000, 0.0000, 0.3307)
Rh (0.3333, 0.6667, 0.1536)

=====

Material: CsMgTe2I
Method: DFT, PBE
State: relaxed

Summary:
- Final energy: -1.453 eV/atom
- Density of states at the Fermi level: 1.513 states/eV per atom
- Crystal system: tetragonal
- Offset from the most stable computed form: 1221 meV per atom

Unit cell a=6.274 b=6.274 c=6.953 alpha=90.00 beta=90.00 gamma=90.00
Space group P4/mmm (No. 123)
Asymmetric unit:
Cs (0.000, 0.000, 0.000)
Mg (0.500, 0.500, 0.500)
Te (0.000, 0.500, 0.000)
I (0.000, 0.000, 0.500)

=====

Material: HfGaPO2
Method: DFT, PBE
State: relaxed

Summary:
- Final energy: -6.550 eV/atom
- Density of states at the Fermi level: 0.142 states/eV per atom
- Crystal system: tetragonal
- Offset from the most stable computed form: 608 meV per atom

Unit cell a=3.775 b=3.775 c=4.879 alpha=90.00 beta=90.00 gamma=90.00
Space group P4/mmm (No. 123)
Asymmetric unit:
Hf (0.000, 0.000, 0.000)
Ga (0.500, 0.500, 0.500)
P (0.500, 0.500, 0.000)
O (0.000, 0.500, 0.500)